A relaxed Pt3SF crystal. Source: Alexandria, functional PBE.

crystal system	cubic
ΔE to the lowest computed polymorph	0.0000	eV/atom
VASP energy	-22.2	eV/cell
space-group type	Pm-3m (221)
ΔE_f (raw)	0.38	eV per atom
volume	90.0	Å³ per cell
theoretical density	11.7	Mg/m³

Lattice parameters (Å, degrees): 4.481 4.481 4.481 90.00 90.00 90.00
Positions (direct):
1 Pt 0.000 0.000 0.500
2 Pt 0.000 0.500 0.000
3 Pt 0.500 0.000 0.000
4 S 0.000 0.000 0.000
5 F 0.500 0.500 0.500